A plane-wave DFT calculation with GGA-PBE was carried out for a geometry-optimized Ho4Ru2Pb structure.

Properties
SG   P1
Energy relative to the elements   -0.40 eV/atom

Cell: 6.0427 7.8650 8.4044 Å, 116.20 100.85 97.67°
Last column: nearest neighbours and their distance in Å.
Positions (direct):
Ho1 0.0000 0.0000 0.0000  3 Ru 2.87-3.02
Ho2 0.0763 0.9174 0.3913  3 Ru 2.73-2.93
Ho3 0.2866 0.3603 0.8339  2 Ru 2.62-2.79
Ho4 0.3762 0.7818 0.7777  4 Ru 2.74-3.01
Ho5 0.4895 0.5930 0.3072  3 Ru 2.75-3.03
Ho6 0.5788 0.0739 0.2639  3 Ru 2.69-2.95
Ho7 0.7954 0.5111 0.7245  3 Ru 2.68-2.98
Ho8 0.8923 0.4393 0.1111  3 Ru 2.74-2.88
Ru1 0.1984 0.7148 0.0618  8 Ho 2.79-3.02, 2 Ru 2.93-3.11
Ru2 0.4738 0.1784 0.9996  4 Ho 2.62-2.74
Ru3 0.6822 0.7172 0.0572  8 Ho 2.80-3.03, 2 Ru 2.93-3.11
Ru4 0.9181 0.7188 0.5600  4 Ho 2.68-2.86
Pb1 0.1306 0.3581 0.4367  1 Ru 3.11, 8 Ho 3.19-3.40
Pb2 0.7012 0.0632 0.6728  2 Ru 3.02-3.13, 3 Ho 3.26-3.31

***

A plane-wave DFT calculation with GGA-PBE was carried out for a geometry-optimized UGePd structure.

Properties
SG   P-6m2
Energy relative to the elements   -0.43 eV/atom

Cell: 4.5989 4.5989 3.1403 Å, 90.00 90.00 120.00°
Last column: nearest neighbours and their distance in Å.
Positions (direct):
U1 0.0000 0.0000 0.0000  6 Ge 3.08, 6 Pd 3.08, 2 U 3.14
Ge1 0.6667 0.3333 0.5000  3 Pd 2.66
Pd1 0.3333 0.6667 0.5000  3 Ge 2.66